# 1
# PBE LaPu2TaN4, optimized geometry
# Total magnetization   42.03 μB per cell
# VASP energy   -10.96 eV/atom
# Raw formation energy   -8.9 eV/f.u.
data_LaPu2TaN4
_cell_length_a 3.435
_cell_length_b 12.143
_cell_length_c 12.280
_cell_angle_alpha 90.00
_cell_angle_beta 90.00
_cell_angle_gamma 90.00
_space_group_name_H-M_alt 'C m c m'
_space_group_IT_number 63
_space_group_name_Hall '-C 2c 2'
loop_
_atom_site_label
_atom_site_type_symbol
_atom_site_fract_x
_atom_site_fract_y
_atom_site_fract_z
La1 La 0.000 0.098 0.250
Pu1 Pu 0.000 0.370 0.035
Ta1 Ta 0.000 0.163 0.750
N1 N 0.000 0.000 0.000
N2 N 0.000 0.263 0.624
N3 N 0.000 0.435 0.250

***

# 2
# PBE LaTbPuN3, optimized geometry
# Total magnetization   9.95 μB per cell
# VASP energy   -9.44 eV/atom
# Raw formation energy   -7.8 eV/f.u.
data_LaTbPuN3
_cell_length_a 6.090
_cell_length_b 3.561
_cell_length_c 9.202
_cell_angle_alpha 90.00
_cell_angle_beta 102.20
_cell_angle_gamma 90.00
_space_group_name_H-M_alt 'P 1 21/m 1'
_space_group_IT_number 11
_space_group_name_Hall '-P 2yb'
loop_
_atom_site_label
_atom_site_type_symbol
_atom_site_fract_x
_atom_site_fract_y
_atom_site_fract_z
La1 La 0.157 0.250 0.194
Tb1 Tb 0.266 0.750 0.544
Pu1 Pu 0.361 0.250 0.852
N1 N 0.050 0.250 0.667
N2 N 0.261 0.750 0.987
N3 N 0.461 0.750 0.345

***

# 3
# PBE LaTb2PuN4, optimized geometry
# Total magnetization   4.75 μB per cell
# VASP energy   -9.16 eV/atom
# Raw formation energy   -11.4 eV/f.u.
data_LaTb2PuN4
_cell_length_a 6.149
_cell_length_b 3.556
_cell_length_c 6.154
_cell_angle_alpha 90.00
_cell_angle_beta 109.34
_cell_angle_gamma 90.00
_space_group_name_H-M_alt 'P 1 2/m 1'
_space_group_IT_number 10
_space_group_name_Hall '-P 2y'
loop_
_atom_site_label
_atom_site_type_symbol
_atom_site_fract_x
_atom_site_fract_y
_atom_site_fract_z
La1 La 0.000 0.000 0.000
Tb1 Tb 0.500 0.000 0.500
Tb2 Tb 0.500 0.500 0.000
Pu1 Pu 0.000 0.500 0.500
N1 N 0.248 0.000 0.737
N2 N 0.256 0.500 0.266

***

# 4
# PBE La2PuTcN4, optimized geometry
# Total magnetization   19.91 μB per cell
# VASP energy   -9.28 eV/atom
# Raw formation energy   -6.4 eV/f.u.
data_La2PuTcN4
_cell_length_a 3.465
_cell_length_b 12.062
_cell_length_c 12.467
_cell_angle_alpha 90.00
_cell_angle_beta 90.00
_cell_angle_gamma 90.00
_space_group_name_H-M_alt 'C m c m'
_space_group_IT_number 63
_space_group_name_Hall '-C 2c 2'
loop_
_atom_site_label
_atom_site_type_symbol
_atom_site_fract_x
_atom_site_fract_y
_atom_site_fract_z
La1 La 0.000 0.133 0.042
Pu1 Pu 0.000 0.377 0.250
Tc1 Tc 0.000 0.352 0.750
N1 N 0.000 0.069 0.250
N2 N 0.000 0.222 0.644
N3 N 0.000 0.500 0.000

***

# 5
# PBE LaPu2TcN4, optimized geometry
# Total magnetization   31.84 μB per cell
# VASP energy   -10.64 eV/atom
# Raw formation energy   -7.9 eV/f.u.
data_LaPu2TcN4
_cell_length_a 3.409
_cell_length_b 11.883
_cell_length_c 11.620
_cell_angle_alpha 90.00
_cell_angle_beta 90.00
_cell_angle_gamma 90.00
_space_group_name_H-M_alt 'C m c m'
_space_group_IT_number 63
_space_group_name_Hall '-C 2c 2'
loop_
_atom_site_label
_atom_site_type_symbol
_atom_site_fract_x
_atom_site_fract_y
_atom_site_fract_z
La1 La 0.000 0.109 0.250
Pu1 Pu 0.000 0.369 0.048
Tc1 Tc 0.000 0.151 0.750
N1 N 0.000 0.000 0.000
N2 N 0.000 0.263 0.616
N3 N 0.000 0.451 0.250

***

# 6
# PBE La2PuTcN5, optimized geometry
# Total magnetization   3.50 μB per cell
# VASP energy   -9.46 eV/atom
# Raw formation energy   -9.0 eV/f.u.
data_La2PuTcN5
_cell_length_a 3.904
_cell_length_b 3.904
_cell_length_c 8.571
_cell_angle_alpha 90.00
_cell_angle_beta 90.00
_cell_angle_gamma 90.00
_space_group_name_H-M_alt 'P 4/m m m'
_space_group_IT_number 123
_space_group_name_Hall '-P 4 2'
loop_
_atom_site_label
_atom_site_type_symbol
_atom_site_fract_x
_atom_site_fract_y
_atom_site_fract_z
La1 La 0.000 0.000 0.211
Pu1 Pu 0.500 0.500 0.500
Tc1 Tc 0.500 0.500 0.000
N1 N 0.000 0.000 0.500
N2 N 0.000 0.500 0.000
N3 N 0.500 0.500 0.263

***

# 7
# PBE La2Pu4Te3N2, optimized geometry
# Total magnetization   46.60 μB per cell
# VASP energy   -9.58 eV/atom
# Raw formation energy   -12.1 eV/f.u.
data_La2Pu4Te3N2
_cell_length_a 4.639
_cell_length_b 4.639
_cell_length_c 26.664
_cell_angle_alpha 90.00
_cell_angle_beta 90.00
_cell_angle_gamma 90.00
_space_group_name_H-M_alt 'I 4/m m m'
_space_group_IT_number 139
_space_group_name_Hall '-I 4 2'
loop_
_atom_site_label
_atom_site_type_symbol
_atom_site_fract_x
_atom_site_fract_y
_atom_site_fract_z
La1 La 0.000 0.000 0.196
Pu1 Pu 0.000 0.500 0.084
Te1 Te 0.000 0.000 0.324
Te2 Te 0.000 0.000 0.500
N1 N 0.000 0.000 0.105

***

# 8
# PBE La2PuTe2N2, optimized geometry
# Total magnetization   8.00 μB per cell
# VASP energy   -8.14 eV/atom
# Raw formation energy   -9.8 eV/f.u.
data_La2PuTe2N2
_cell_length_a 4.421
_cell_length_b 4.421
_cell_length_c 16.921
_cell_angle_alpha 90.00
_cell_angle_beta 90.00
_cell_angle_gamma 90.00
_space_group_name_H-M_alt 'I 4/m m m'
_space_group_IT_number 139
_space_group_name_Hall '-I 4 2'
loop_
_atom_site_label
_atom_site_type_symbol
_atom_site_fract_x
_atom_site_fract_y
_atom_site_fract_z
La1 La 0.000 0.000 0.108
Pu1 Pu 0.000 0.000 0.500
Te1 Te 0.000 0.000 0.317
N1 N 0.000 0.500 0.000

***

# 9
# PBE La4PuTh3N8, optimized geometry
# Total magnetization   14.74 μB per cell
# VASP energy   -9.13 eV/atom
# Raw formation energy   -23.1 eV/f.u.
data_La4PuTh3N8
_cell_length_a 7.3542
_cell_length_b 7.3542
_cell_length_c 18.1041
_cell_angle_alpha 90.00
_cell_angle_beta 90.00
_cell_angle_gamma 120.00
_space_group_name_H-M_alt 'R -3 m'
_space_group_IT_number 166
_space_group_name_Hall '-R 3 2"'
loop_
_atom_site_label
_atom_site_type_symbol
_atom_site_fract_x
_atom_site_fract_y
_atom_site_fract_z
La1 La 0.0000 0.0000 0.0000
La2 La 0.0000 0.5000 0.0000
Pu1 Pu 0.0000 0.0000 0.5000
Th1 Th 0.0000 0.5000 0.5000
N1 N 0.0000 0.0000 0.2425
N2 N 0.0033 0.5017 0.2421

***

# 10
# PBE LaPuThN3, optimized geometry
# Total magnetization   11.40 μB per cell
# VASP energy   -9.82 eV/atom
# Raw formation energy   -7.3 eV/f.u.
data_LaPuThN3
_cell_length_a 7.302
_cell_length_b 3.539
_cell_length_c 8.957
_cell_angle_alpha 90.00
_cell_angle_beta 94.88
_cell_angle_gamma 90.00
_space_group_name_H-M_alt 'P 1 21/m 1'
_space_group_IT_number 11
_space_group_name_Hall '-P 2yb'
loop_
_atom_site_label
_atom_site_type_symbol
_atom_site_fract_x
_atom_site_fract_y
_atom_site_fract_z
La1 La 0.111 0.250 0.340
Pu1 Pu 0.188 0.250 0.950
Th1 Th 0.395 0.750 0.650
N1 N 0.112 0.750 0.091
N2 N 0.160 0.250 0.639
N3 N 0.378 0.750 0.399

***

# 11
# PBE La2PuThN5, optimized geometry
# Total magnetization   12.00 μB per cell
# VASP energy   -9.39 eV/atom
# Raw formation energy   -11.2 eV/f.u.
data_La2PuThN5
_cell_length_a 3.834
_cell_length_b 13.518
_cell_length_c 12.000
_cell_angle_alpha 90.00
_cell_angle_beta 90.00
_cell_angle_gamma 90.00
_space_group_name_H-M_alt 'C m c 21'
_space_group_IT_number 36
_space_group_name_Hall 'C 2c -2'
loop_
_atom_site_label
_atom_site_type_symbol
_atom_site_fract_x
_atom_site_fract_y
_atom_site_fract_z
La1 La 0.000 0.110 0.000
La2 La 0.000 0.150 0.530
Pu1 Pu 0.000 0.470 0.766
Th1 Th 0.000 0.261 0.273
N1 N 0.000 0.075 0.326
N2 N 0.000 0.258 0.909
N3 N 0.000 0.306 0.650
N4 N 0.000 0.408 0.145
N5 N 0.000 0.415 0.379

***

# 12
# PBE La2PuThN4, optimized geometry
# Total magnetization   4.78 μB per cell
# VASP energy   -9.50 eV/atom
# Raw formation energy   -11.1 eV/f.u.
data_La2PuThN4
_cell_length_a 6.317
_cell_length_b 3.650
_cell_length_c 6.362
_cell_angle_alpha 90.00
_cell_angle_beta 109.52
_cell_angle_gamma 90.00
_space_group_name_H-M_alt 'P 1 2/m 1'
_space_group_IT_number 10
_space_group_name_Hall '-P 2y'
loop_
_atom_site_label
_atom_site_type_symbol
_atom_site_fract_x
_atom_site_fract_y
_atom_site_fract_z
La1 La 0.000 0.000 0.000
La2 La 0.500 0.500 0.000
Pu1 Pu 0.000 0.500 0.500
Th1 Th 0.500 0.000 0.500
N1 N 0.231 0.000 0.719
N2 N 0.256 0.500 0.272

***

# 13
# PBE LaPu2ThN4, optimized geometry
# Total magnetization   9.66 μB per cell
# VASP energy   -10.64 eV/atom
# Raw formation energy   -10.8 eV/f.u.
data_LaPu2ThN4
_cell_length_a 6.201
_cell_length_b 3.591
_cell_length_c 6.223
_cell_angle_alpha 90.00
_cell_angle_beta 109.52
_cell_angle_gamma 90.00
_space_group_name_H-M_alt 'P 1 2/m 1'
_space_group_IT_number 10
_space_group_name_Hall '-P 2y'
loop_
_atom_site_label
_atom_site_type_symbol
_atom_site_fract_x
_atom_site_fract_y
_atom_site_fract_z
La1 La 0.000 0.000 0.000
Pu1 Pu 0.500 0.000 0.500
Pu2 Pu 0.500 0.500 0.000
Th1 Th 0.000 0.500 0.500
N1 N 0.266 0.000 0.745
N2 N 0.277 0.500 0.270

***

# 14
# PBE La3PuTh2N6, optimized geometry
# Total magnetization   10.14 μB per cell
# VASP energy   -9.24 eV/atom
# Raw formation energy   -17.0 eV/f.u.
data_La3PuTh2N6
_cell_length_a 6.354
_cell_length_b 11.002
_cell_length_c 6.389
_cell_angle_alpha 90.00
_cell_angle_beta 109.38
_cell_angle_gamma 90.00
_space_group_name_H-M_alt 'C 1 2/m 1'
_space_group_IT_number 12
_space_group_name_Hall '-C 2y'
loop_
_atom_site_label
_atom_site_type_symbol
_atom_site_fract_x
_atom_site_fract_y
_atom_site_fract_z
La1 La 0.000 0.000 0.000
La2 La 0.000 0.335 0.000
Pu1 Pu 0.000 0.500 0.500
Th1 Th 0.000 0.167 0.500
N1 N 0.239 0.336 0.725
N2 N 0.247 0.000 0.728

***

# 15
# PBE LaPuTiN3, optimized geometry
# Total magnetization   10.14 μB per cell
# VASP energy   -9.90 eV/atom
# Raw formation energy   -7.3 eV/f.u.
data_LaPuTiN3
_cell_length_a 7.330
_cell_length_b 3.586
_cell_length_c 7.809
_cell_angle_alpha 90.00
_cell_angle_beta 98.07
_cell_angle_gamma 90.00
_space_group_name_H-M_alt 'P 1 21/m 1'
_space_group_IT_number 11
_space_group_name_Hall '-P 2yb'
loop_
_atom_site_label
_atom_site_type_symbol
_atom_site_fract_x
_atom_site_fract_y
_atom_site_fract_z
La1 La 0.167 0.250 0.171
Pu1 Pu 0.368 0.750 0.835
Ti1 Ti 0.107 0.250 0.600
N1 N 0.111 0.250 0.850
N2 N 0.161 0.750 0.511
N3 N 0.416 0.750 0.122

***

# 16
# PBE La2TmPuN4, optimized geometry
# Total magnetization   4.50 μB per cell
# VASP energy   -9.14 eV/atom
# Raw formation energy   -11.1 eV/f.u.
data_La2TmPuN4
_cell_length_a 6.133
_cell_length_b 3.572
_cell_length_c 6.245
_cell_angle_alpha 90.00
_cell_angle_beta 108.97
_cell_angle_gamma 90.00
_space_group_name_H-M_alt 'P 1 2/m 1'
_space_group_IT_number 10
_space_group_name_Hall '-P 2y'
loop_
_atom_site_label
_atom_site_type_symbol
_atom_site_fract_x
_atom_site_fract_y
_atom_site_fract_z
La1 La 0.000 0.000 0.000
La2 La 0.500 0.500 0.000
Tm1 Tm 0.000 0.500 0.500
Pu1 Pu 0.500 0.000 0.500
N1 N 0.247 0.000 0.723
N2 N 0.264 0.500 0.283

***

# 17
# PBE La2PuUN5, optimized geometry
# Total magnetization   5.01 μB per cell
# VASP energy   -9.77 eV/atom
# Raw formation energy   -10.8 eV/f.u.
data_La2PuUN5
_cell_length_a 4.145
_cell_length_b 4.145
_cell_length_c 8.903
_cell_angle_alpha 90.00
_cell_angle_beta 90.00
_cell_angle_gamma 90.00
_space_group_name_H-M_alt 'P 4/m m m'
_space_group_IT_number 123
_space_group_name_Hall '-P 4 2'
loop_
_atom_site_label
_atom_site_type_symbol
_atom_site_fract_x
_atom_site_fract_y
_atom_site_fract_z
La1 La 0.000 0.000 0.234
Pu1 Pu 0.500 0.500 0.500
U1 U 0.500 0.500 0.000
N1 N 0.000 0.000 0.500
N2 N 0.000 0.500 0.000
N3 N 0.500 0.500 0.258

***

# 18
# PBE La4PuU3N8, optimized geometry
# Total magnetization   20.12 μB per cell
# VASP energy   -9.78 eV/atom
# Raw formation energy   -22.0 eV/f.u.
data_La4PuU3N8
_cell_length_a 7.1039
_cell_length_b 7.1039
_cell_length_c 17.7120
_cell_angle_alpha 90.00
_cell_angle_beta 90.00
_cell_angle_gamma 120.00
_space_group_name_H-M_alt 'R -3 m'
_space_group_IT_number 166
_space_group_name_Hall '-R 3 2"'
loop_
_atom_site_label
_atom_site_type_symbol
_atom_site_fract_x
_atom_site_fract_y
_atom_site_fract_z
La1 La 0.0000 0.0000 0.0000
La2 La 0.0000 0.5000 0.0000
Pu1 Pu 0.0000 0.0000 0.5000
U1 U 0.0000 0.5000 0.5000
N1 N 0.0000 0.0000 0.2322
N2 N 0.0165 0.5083 0.7672

***

# 19
# PBE LaPu2WN4, optimized geometry
# Total magnetization   38.62 μB per cell
# VASP energy   -10.95 eV/atom
# Raw formation energy   -7.7 eV/f.u.
data_LaPu2WN4
_cell_length_a 3.430
_cell_length_b 12.028
_cell_length_c 12.018
_cell_angle_alpha 90.00
_cell_angle_beta 90.00
_cell_angle_gamma 90.00
_space_group_name_H-M_alt 'C m c m'
_space_group_IT_number 63
_space_group_name_Hall '-C 2c 2'
loop_
_atom_site_label
_atom_site_type_symbol
_atom_site_fract_x
_atom_site_fract_y
_atom_site_fract_z
La1 La 0.000 0.092 0.250
Pu1 Pu 0.000 0.370 0.041
W1 W 0.000 0.167 0.750
N1 N 0.000 0.000 0.000
N2 N 0.000 0.262 0.619
N3 N 0.000 0.434 0.250

***

# 20
# PBE LaPuWN4, optimized geometry
# Total magnetization   18.92 μB per cell
# VASP energy   -10.35 eV/atom
# Raw formation energy   -7.0 eV/f.u.
data_LaPuWN4
_cell_length_a 5.611
_cell_length_b 12.551
_cell_length_c 5.610
_cell_angle_alpha 90.00
_cell_angle_beta 90.00
_cell_angle_gamma 90.00
_space_group_name_H-M_alt 'C m c m'
_space_group_IT_number 63
_space_group_name_Hall '-C 2c 2'
loop_
_atom_site_label
_atom_site_type_symbol
_atom_site_fract_x
_atom_site_fract_y
_atom_site_fract_z
La1 La 0.000 0.109 0.250
Pu1 Pu 0.000 0.399 0.250
W1 W 0.000 0.238 0.750
N1 N 0.000 0.085 0.750
N2 N 0.000 0.428 0.750
N3 N 0.250 0.250 0.000